(1)
Density functional theory data (PBEsol) for a relaxed Zr2Os crystal.

Properties
Space group: Fd-3m
Crystal system: cubic
Calculated formation energy (eV per formula unit): -0.89

a = 8.707 Å, b = 8.707 Å, c = 8.707 Å
α = 60.00°, β = 60.00°, γ = 60.00°
Positions (direct):
Zr 0.000 0.000 0.000
Zr 0.000 0.000 0.500
Zr 0.000 0.500 0.000
Zr 0.185 0.185 0.565
Zr 0.185 0.565 0.185
Zr 0.185 0.565 0.565
Zr 0.435 0.435 0.815
Zr 0.435 0.815 0.435
Zr 0.435 0.815 0.815
Zr 0.500 0.000 0.000
Zr 0.565 0.185 0.185
Zr 0.565 0.185 0.565
Zr 0.565 0.565 0.185
Zr 0.815 0.435 0.435
Zr 0.815 0.435 0.815
Zr 0.815 0.815 0.435
Os 0.144 0.785 0.785
Os 0.215 0.215 0.215
Os 0.215 0.215 0.856
Os 0.215 0.856 0.215
Os 0.785 0.144 0.785
Os 0.785 0.785 0.144
Os 0.785 0.785 0.785
Os 0.856 0.215 0.215

***

(2)
Density functional theory data (PBEsol) for a relaxed Zr3Os crystal.

Properties
Space group: Immm
Crystal system: orthorhombic
Calculated formation energy (eV per formula unit): -1.13

a = 5.682 Å, b = 5.682 Å, c = 5.682 Å
α = 146.39°, β = 129.81°, γ = 61.77°
Positions (direct):
Zr 0.000 0.000 0.000
Zr 0.273 0.773 0.500
Zr 0.727 0.227 0.500
Os 0.500 0.500 0.000

***

(3)
Density functional theory data (PBEsol) for a relaxed Zr3Os crystal.

Properties
Space group: Pnma
Crystal system: orthorhombic
Calculated formation energy (eV per formula unit): -0.79

a = 6.322 Å, b = 9.040 Å, c = 5.787 Å
α = 90.00°, β = 90.00°, γ = 90.00°
Positions (direct):
Zr 0.033 0.250 0.160
Zr 0.203 0.054 0.638
Zr 0.203 0.446 0.638
Zr 0.297 0.554 0.138
Zr 0.297 0.946 0.138
Zr 0.467 0.750 0.660
Zr 0.533 0.250 0.340
Zr 0.703 0.054 0.862
Zr 0.703 0.446 0.862
Zr 0.797 0.554 0.362
Zr 0.797 0.946 0.362
Zr 0.967 0.750 0.840
Os 0.111 0.750 0.407
Os 0.389 0.250 0.907
Os 0.611 0.750 0.093
Os 0.889 0.250 0.593

***

(4)
Density functional theory data (PBEsol) for a relaxed Zr3Os crystal.

Properties
Space group: Pm-3m
Crystal system: cubic
Calculated formation energy (eV per formula unit): 3.77

a = 5.055 Å, b = 5.055 Å, c = 5.055 Å
α = 90.00°, β = 90.00°, γ = 90.00°
Positions (direct):
Zr 0.000 0.000 0.500
Zr 0.000 0.500 0.000
Zr 0.500 0.000 0.000
Os 0.000 0.000 0.000

***

(5)
Density functional theory data (PBEsol) for a relaxed ZrOs2 crystal.

Properties
Space group: P6_3/mmc
Crystal system: hexagonal
Calculated formation energy (eV per formula unit): -1.07

a = 5.186 Å, b = 5.186 Å, c = 17.005 Å
α = 90.00°, β = 90.00°, γ = 120.00°
Positions (direct):
Zr 0.000 0.000 0.091
Zr 0.000 0.000 0.409
Zr 0.000 0.000 0.591
Zr 0.000 0.000 0.909
Zr 0.333 0.667 0.156
Zr 0.333 0.667 0.344
Zr 0.667 0.333 0.656
Zr 0.667 0.333 0.844
Os 0.000 0.500 0.000
Os 0.000 0.500 0.500
Os 0.161 0.322 0.750
Os 0.161 0.839 0.750
Os 0.322 0.161 0.250
Os 0.333 0.667 0.627
Os 0.333 0.667 0.873
Os 0.500 0.000 0.000
Os 0.500 0.000 0.500
Os 0.500 0.500 0.000
Os 0.500 0.500 0.500
Os 0.667 0.333 0.127
Os 0.667 0.333 0.373
Os 0.678 0.839 0.750
Os 0.839 0.161 0.250
Os 0.839 0.678 0.250

***

(6)
Density functional theory data (PBEsol) for a relaxed Zr17Os12 crystal.

Properties
Space group: I-43m
Crystal system: cubic
Calculated formation energy (eV per formula unit): -10.49

a = 8.786 Å, b = 8.786 Å, c = 8.786 Å
α = 109.47°, β = 109.47°, γ = 109.47°
Positions (direct):
Zr 0.000 0.000 0.000
Zr 0.000 0.000 0.647
Zr 0.000 0.393 0.678
Zr 0.000 0.647 0.000
Zr 0.000 0.678 0.393
Zr 0.285 0.607 0.607
Zr 0.322 0.322 0.715
Zr 0.322 0.715 0.322
Zr 0.353 0.353 0.353
Zr 0.393 0.000 0.678
Zr 0.393 0.678 0.000
Zr 0.607 0.285 0.607
Zr 0.607 0.607 0.285
Zr 0.647 0.000 0.000
Zr 0.678 0.000 0.393
Zr 0.678 0.393 0.000
Zr 0.715 0.322 0.322
Os 0.000 0.185 0.364
Os 0.000 0.364 0.185
Os 0.179 0.815 0.815
Os 0.185 0.000 0.364
Os 0.185 0.364 0.000
Os 0.364 0.000 0.185
Os 0.364 0.185 0.000
Os 0.636 0.636 0.821
Os 0.636 0.821 0.636
Os 0.815 0.179 0.815
Os 0.815 0.815 0.179
Os 0.821 0.636 0.636

***

(7)
Density functional theory data (PBEsol) for a relaxed Zr4Os crystal.

Properties
Space group: I4/m
Energy above the most stable polymorph in this dataset (meV/atom): 0.0
Crystal system: tetragonal
Calculated formation energy (eV per formula unit): -1.16

a = 5.767 Å, b = 5.767 Å, c = 5.767 Å
α = 94.59°, β = 94.59°, γ = 147.13°
Positions (direct):
Zr 0.087 0.721 0.808
Zr 0.279 0.087 0.365
Zr 0.721 0.913 0.635
Zr 0.913 0.279 0.192
Os 0.500 0.500 0.000

***

(8)
Density functional theory data (PBEsol) for a relaxed Zr3Os crystal.

Properties
Space group: P4/mmm
Crystal system: tetragonal
Calculated formation energy (eV per formula unit): -1.02

a = 3.253 Å, b = 3.253 Å, c = 7.346 Å
α = 90.00°, β = 90.00°, γ = 90.00°
Positions (direct):
Zr 0.000 0.000 0.000
Zr 0.500 0.500 0.281
Zr 0.500 0.500 0.719
Os 0.000 0.000 0.500

***

(9)
Density functional theory data (PBEsol) for a relaxed Zr2Os crystal.

Properties
Space group: Cmcm
Crystal system: orthorhombic
Calculated formation energy (eV per formula unit): -1.12

a = 7.335 Å, b = 7.335 Å, c = 4.742 Å
α = 90.00°, β = 90.00°, γ = 154.22°
Positions (direct):
Zr 0.077 0.923 0.750
Zr 0.236 0.764 0.250
Zr 0.764 0.236 0.750
Zr 0.923 0.077 0.250
Os 0.420 0.580 0.750
Os 0.580 0.420 0.250

***

(10)
Density functional theory data (PBEsol) for a relaxed Zr11Os4 crystal.

Properties
Space group: Fm-3m
Crystal system: cubic
Calculated formation energy (eV per formula unit): -4.44

a = 9.422 Å, b = 9.422 Å, c = 9.422 Å
α = 60.00°, β = 60.00°, γ = 60.00°
Positions (direct):
Zr 0.150 0.617 0.617
Zr 0.163 0.163 0.163
Zr 0.163 0.163 0.511
Zr 0.163 0.511 0.163
Zr 0.201 0.201 0.799
Zr 0.201 0.799 0.201
Zr 0.201 0.799 0.799
Zr 0.383 0.383 0.383
Zr 0.383 0.383 0.850
Zr 0.383 0.850 0.383
Zr 0.489 0.837 0.837
Zr 0.511 0.163 0.163
Zr 0.617 0.150 0.617
Zr 0.617 0.617 0.150
Zr 0.617 0.617 0.617
Zr 0.799 0.201 0.201
Zr 0.799 0.201 0.799
Zr 0.799 0.799 0.201
Zr 0.837 0.489 0.837
Zr 0.837 0.837 0.489
Zr 0.837 0.837 0.837
Zr 0.850 0.383 0.383
Os 0.000 0.000 0.000
Os 0.000 0.000 0.500
Os 0.000 0.500 0.000
Os 0.000 0.500 0.500
Os 0.500 0.000 0.000
Os 0.500 0.000 0.500
Os 0.500 0.500 0.000
Os 0.500 0.500 0.500

***

(11)
Density functional theory data (PBEsol) for a relaxed Zr2Os3 crystal.

Properties
Space group: P-3m1
Crystal system: trigonal
Calculated formation energy (eV per formula unit): 2.12

a = 4.418 Å, b = 4.418 Å, c = 5.434 Å
α = 90.00°, β = 90.00°, γ = 120.00°
Positions (direct):
Zr 0.333 0.667 0.316
Zr 0.667 0.333 0.684
Os 0.000 0.000 0.500
Os 0.333 0.667 0.829
Os 0.667 0.333 0.171

***

(12)
Density functional theory data (PBEsol) for a relaxed Zr3Os crystal.

Properties
Space group: Fm-3m
Crystal system: cubic
Calculated formation energy (eV per formula unit): -0.67

a = 4.732 Å, b = 4.732 Å, c = 4.732 Å
α = 60.00°, β = 60.00°, γ = 60.00°
Positions (direct):
Zr 0.000 0.000 0.000
Zr 0.250 0.250 0.250
Zr 0.750 0.750 0.750
Os 0.500 0.500 0.500

***

(13)
Density functional theory data (PBEsol) for a relaxed P crystal.

Properties
Space group: I4/mmm
Energy above the most stable polymorph in this dataset (meV/atom): 148.5
Crystal system: tetragonal
Calculated formation energy (eV per formula unit): 0.15

a = 5.377 Å, b = 5.377 Å, c = 5.377 Å
α = 153.68°, β = 153.68°, γ = 37.57°
Positions (direct):
P 0.111 0.111 0.000
P 0.889 0.889 0.000

***

(14)
Density functional theory data (PBEsol) for a relaxed P crystal.

Properties
Space group: Imma
Energy above the most stable polymorph in this dataset (meV/atom): 7.6
Crystal system: orthorhombic
Calculated formation energy (eV per formula unit): 0.01

a = 3.497 Å, b = 3.497 Å, c = 3.497 Å
α = 121.84°, β = 89.78°, γ = 118.44°
Positions (direct):
P 0.290 0.040 0.250
P 0.710 0.960 0.750

***

(15)
Density functional theory data (PBEsol) for a relaxed P crystal.

Properties
Space group: Fd-3m
Energy above the most stable polymorph in this dataset (meV/atom): 572.1
Crystal system: cubic
Calculated formation energy (eV per formula unit): 0.57

a = 3.796 Å, b = 3.796 Å, c = 3.796 Å
α = 60.00°, β = 60.00°, γ = 60.00°
Positions (direct):
P 0.125 0.125 0.125
P 0.875 0.875 0.875

***

(16)
Density functional theory data (PBEsol) for a relaxed P crystal.

Properties
Space group: Pm
Energy above the most stable polymorph in this dataset (meV/atom): 97.9
Crystal system: monoclinic
Calculated formation energy (eV per formula unit): 0.10

a = 5.437 Å, b = 7.618 Å, c = 6.145 Å
α = 90.00°, β = 102.79°, γ = 90.00°
Positions (direct):
P 0.000 0.000 0.000
P 0.115 0.149 0.551
P 0.115 0.851 0.551
P 0.517 0.227 0.580
P 0.517 0.773 0.580
P 0.535 0.147 0.237
P 0.535 0.853 0.237
P 0.600 0.000 0.807
P 0.923 0.225 0.210
P 0.923 0.775 0.210

***

(17)
Density functional theory data (PBEsol) for a relaxed P crystal.

Properties
Space group: P-1
Energy above the most stable polymorph in this dataset (meV/atom): 36.4
Crystal system: triclinic
Calculated formation energy (eV per formula unit): 0.04

a = 6.966 Å, b = 11.560 Å, c = 11.868 Å
α = 71.71°, β = 74.73°, γ = 84.72°
Positions (direct):
P 0.012 0.082 0.059
P 0.030 0.723 0.220
P 0.038 0.868 0.669
P 0.050 0.232 0.131
P 0.108 0.159 0.667
P 0.139 0.955 0.326
P 0.162 0.584 0.353
P 0.194 0.508 0.853
P 0.213 0.666 0.915
P 0.249 0.027 0.802
P 0.278 0.002 0.125
P 0.279 0.473 0.227
P 0.292 0.830 0.082
P 0.295 0.602 0.655
P 0.337 0.931 0.663
P 0.375 0.447 0.574
P 0.414 0.691 0.343
P 0.416 0.328 0.355
P 0.443 0.257 0.854
P 0.461 0.419 0.912
P 0.475 0.775 0.777
P 0.525 0.225 0.223
P 0.539 0.581 0.088
P 0.557 0.743 0.146
P 0.584 0.672 0.645
P 0.586 0.309 0.657
P 0.625 0.553 0.426
P 0.663 0.069 0.337
P 0.705 0.398 0.345
P 0.708 0.170 0.918
P 0.721 0.527 0.773
P 0.722 0.998 0.875
P 0.751 0.973 0.198
P 0.787 0.334 0.085
P 0.806 0.492 0.147
P 0.838 0.416 0.647
P 0.861 0.045 0.674
P 0.892 0.841 0.333
P 0.950 0.768 0.869
P 0.962 0.132 0.331
P 0.970 0.277 0.780
P 0.988 0.918 0.941

***

(18)
Density functional theory data (PBEsol) for a relaxed P crystal.

Properties
Space group: R-3m
Energy above the most stable polymorph in this dataset (meV/atom): 0.0
Crystal system: trigonal
Calculated formation energy (eV per formula unit): 0.00

a = 3.550 Å, b = 3.550 Å, c = 3.550 Å
α = 58.04°, β = 58.04°, γ = 58.04°
Positions (direct):
P 0.233 0.233 0.233
P 0.767 0.767 0.767

***

(19)
Density functional theory data (PBEsol) for a relaxed P crystal.

Properties
Space group: Cmce
Energy above the most stable polymorph in this dataset (meV/atom): 32.6
Crystal system: orthorhombic
Calculated formation energy (eV per formula unit): 0.03

a = 5.394 Å, b = 5.394 Å, c = 4.196 Å
α = 90.00°, β = 90.00°, γ = 144.20°
Positions (direct):
P 0.105 0.895 0.927
P 0.395 0.605 0.427
P 0.605 0.395 0.573
P 0.895 0.105 0.073

***

| no. | E (eV for the cell shown) | total magnetization (μB/f.u.) |
| --- | --- | --- |
| 1 | -250.3 | 0.00 |
| 2 | -40.6 | 0.00 |
| 3 | -161.1 | 0.00 |
| 4 | -35.7 | 0.46 |
| 5 | -276.8 | 0.00 |
| 6 | -311.6 | 0.00 |
| 7 | -49.7 | 0.00 |
| 8 | -40.5 | 0.00 |
| 9 | -63.0 | 0.00 |
| 10 | -306.6 | 0.00 |
| 11 | -52.7 | 0.00 |
| 12 | -40.2 | 0.00 |
| 13 | -11.3 | 0.00 |
| 14 | -11.6 | 0.00 |
| 15 | -10.4 | 0.00 |
| 16 | -56.9 | 0.00 |
| 17 | -241.7 | 0.00 |
| 18 | -11.6 | 0.00 |
| 19 | -23.0 | 0.00 |